Computed, not measured: a relaxed structure of Li3Pm3TaSe8 at the GGA-PBE level of DFT.

CIF file:
```
data_Li3Pm3TaSe8
_space_group_name_H-M_alt 'P 1'
_space_group_IT_number 1
_cell_length_a 8.052
_cell_length_b 8.052
_cell_length_c 8.052
_cell_angle_alpha 60.83
_cell_angle_beta 60.83
_cell_angle_gamma 60.83
loop_
_space_group_symop_operation_xyz
'x,y,z'
loop_
_atom_site_label
_atom_site_type_symbol
_atom_site_fract_x
_atom_site_fract_y
_atom_site_fract_z
Li1 Li 0.000 0.500 0.500
Li2 Li 0.500 0.000 0.500
Li3 Li 0.500 0.500 0.000
Pm1 Pm 0.000 0.000 0.500
Pm2 Pm 0.000 0.500 0.000
Pm3 Pm 0.500 0.000 0.000
Ta1 Ta 0.500 0.500 0.500
Se1 Se 0.255 0.255 0.255
Se2 Se 0.268 0.268 0.721
Se3 Se 0.268 0.721 0.268
Se4 Se 0.279 0.732 0.732
Se5 Se 0.721 0.268 0.268
Se6 Se 0.732 0.279 0.732
Se7 Se 0.732 0.732 0.279
Se8 Se 0.745 0.745 0.745
```

Values from the calculation:
**Total moment**: 0.66 μB/cell
**Volume**: 25.1 A^3/atom
**Uncorrected formation energy**: -1.44 eV per atom

=====

Computed, not measured: a relaxed structure of LiTb3Pm2Se6 at the GGA-PBE level of DFT.

CIF file:
```
data_LiTb3Pm2Se6
_space_group_name_H-M_alt 'P 1'
_space_group_IT_number 1
_cell_length_a 7.131
_cell_length_b 7.131
_cell_length_c 7.123
_cell_angle_alpha 99.66
_cell_angle_beta 99.66
_cell_angle_gamma 120.15
loop_
_space_group_symop_operation_xyz
'x,y,z'
loop_
_atom_site_label
_atom_site_type_symbol
_atom_site_fract_x
_atom_site_fract_y
_atom_site_fract_z
Li1 Li 0.000 0.000 0.000
Tb1 Tb 0.168 0.832 0.500
Tb2 Tb 0.500 0.500 0.500
Tb3 Tb 0.832 0.168 0.500
Pm1 Pm 0.335 0.665 0.000
Pm2 Pm 0.665 0.335 0.000
Se1 Se 0.083 0.404 0.251
Se2 Se 0.236 0.236 0.750
Se3 Se 0.404 0.083 0.251
Se4 Se 0.596 0.917 0.749
Se5 Se 0.764 0.764 0.250
Se6 Se 0.917 0.596 0.749
```

Values from the calculation:
**Total moment**: 0.00 μB/cell
**Volume**: 24.6 A^3/atom
**Uncorrected formation energy**: -1.78 eV per atom